No. 1
! Ir (GGA-PBE, relaxed); values from VASP
! ΔE_f	0.073	eV/atom
! symmetry	P6_3/mmc
! ΔE to the lowest computed polymorph	73	meV per atom
&SYSTEM
  ibrav = 0, nat = 2, ntyp = 1
/
ATOMIC_SPECIES
Ir 192.22 Ir.upf
CELL_PARAMETERS angstrom
2.743 0.000 0.000
-1.371 2.375 0.000
0.000 0.000 4.449
ATOMIC_POSITIONS angstrom
Ir 0.000 1.584 1.112
Ir 1.371 0.792 3.336



No. 2
! Ir (GGA-PBE, relaxed); values from VASP
! ΔE_f	0.074	eV/atom
! symmetry	Cmcm
! ΔE to the lowest computed polymorph	74	meV per atom
&SYSTEM
  ibrav = 0, nat = 4, ntyp = 1
/
ATOMIC_SPECIES
Ir 192.22 Ir.upf
CELL_PARAMETERS angstrom
2.741 0.000 0.000
0.000 4.747 0.000
0.000 0.000 4.451
ATOMIC_POSITIONS angstrom
Ir 0.000 0.782 1.113
Ir 0.000 3.965 3.339
Ir 1.371 1.591 3.339
Ir 1.371 3.156 1.113



No. 3
! Ir (GGA-PBE, relaxed); values from VASP
! ΔE_f	0.988	eV/atom
! symmetry	R-3m
! ΔE to the lowest computed polymorph	988	meV per atom
&SYSTEM
  ibrav = 0, nat = 3, ntyp = 1
/
ATOMIC_SPECIES
Ir 192.22 Ir.upf
CELL_PARAMETERS angstrom
3.584 0.000 0.000
-1.792 3.104 0.000
0.000 0.000 4.527
ATOMIC_POSITIONS angstrom
Ir 0.000 0.000 0.000
Ir 0.000 2.069 3.018
Ir 1.792 1.035 1.509



No. 4
! Ir (GGA-PBE, relaxed); values from VASP
! ΔE_f	0.579	eV/atom
! symmetry	P-1
! ΔE to the lowest computed polymorph	579	meV per atom
&SYSTEM
  ibrav = 0, nat = 3, ntyp = 1
/
ATOMIC_SPECIES
Ir 192.22 Ir.upf
CELL_PARAMETERS angstrom
2.681 0.000 0.000
-1.187 3.598 0.000
-0.179 -0.198 5.264
ATOMIC_POSITIONS angstrom
Ir 0.000 0.000 0.000
Ir -0.031 1.789 3.708
Ir 1.346 1.611 1.556



No. 5
! Ir (GGA-PBE, relaxed); values from VASP
! ΔE_f	0.280	eV/atom
! symmetry	P4_132
! ΔE to the lowest computed polymorph	280	meV per atom
&SYSTEM
  ibrav = 0, nat = 20, ntyp = 1
/
ATOMIC_SPECIES
Ir 192.22 Ir.upf
CELL_PARAMETERS angstrom
6.670 0.000 0.000
0.000 6.670 0.000
0.000 0.000 6.670
ATOMIC_POSITIONS angstrom
Ir 0.348 0.834 5.350
Ir 0.370 6.299 2.965
Ir 0.834 5.350 0.348
Ir 1.297 1.297 1.297
Ir 1.319 3.683 2.501
Ir 2.016 2.987 5.836
Ir 2.038 5.372 4.632
Ir 2.501 1.319 3.683
Ir 2.965 0.370 6.299
Ir 2.987 5.836 2.016
Ir 3.683 2.501 1.319
Ir 3.705 3.705 3.705
Ir 4.168 4.654 6.321
Ir 4.632 2.038 5.372
Ir 4.654 6.321 4.168
Ir 5.350 0.348 0.834
Ir 5.372 4.632 2.038
Ir 5.836 2.016 2.987
Ir 6.299 2.965 0.370
Ir 6.321 4.168 4.654



No. 6
! Ir (GGA-PBE, relaxed); values from VASP
! ΔE_f	0.382	eV/atom
! symmetry	Fmmm
! ΔE to the lowest computed polymorph	382	meV per atom
&SYSTEM
  ibrav = 0, nat = 8, ntyp = 1
/
ATOMIC_SPECIES
Ir 192.22 Ir.upf
CELL_PARAMETERS angstrom
2.724 0.000 0.000
0.000 4.480 0.000
0.000 0.000 9.761
ATOMIC_POSITIONS angstrom
Ir 0.000 0.000 1.243
Ir 0.000 0.000 8.518
Ir 0.000 2.240 3.638
Ir 0.000 2.240 6.123
Ir 1.362 0.000 3.638
Ir 1.362 0.000 6.123
Ir 1.362 2.240 1.243
Ir 1.362 2.240 8.518



No. 7
! Ir (GGA-PBE, relaxed); values from VASP
! ΔE_f	0.351	eV/atom
! symmetry	Cm
! ΔE to the lowest computed polymorph	351	meV per atom
&SYSTEM
  ibrav = 0, nat = 18, ntyp = 1
/
ATOMIC_SPECIES
Ir 192.22 Ir.upf
CELL_PARAMETERS angstrom
4.278 -1.917 0.000
4.278 1.917 0.000
-0.070 0.000 27.988
ATOMIC_POSITIONS angstrom
Ir 0.000 0.000 0.000
Ir 8.505 0.000 19.335
Ir 0.821 0.000 2.589
Ir 0.831 0.000 21.925
Ir 1.689 0.000 5.059
Ir 1.653 0.000 24.521
Ir 2.533 0.000 18.582
Ir 2.507 0.000 27.116
Ir 3.394 0.000 1.720
Ir 3.402 0.000 21.055
Ir 4.271 0.000 4.309
Ir 4.228 0.000 23.647
Ir 5.077 0.000 26.270
Ir 5.916 0.000 20.110
Ir 5.985 0.000 0.883
Ir 6.796 0.000 22.763
Ir 6.859 0.000 3.529
Ir 7.638 0.000 25.367



No. 8
! K2Ir (GGA-PBE, relaxed); values from VASP
! symmetry	Fd-3m
&SYSTEM
  ibrav = 0, nat = 6, ntyp = 2
/
ATOMIC_SPECIES
K 39.10 K.upf
Ir 192.22 Ir.upf
CELL_PARAMETERS angstrom
0.000 6.983 6.983
6.983 0.000 6.983
6.983 6.983 0.000
ATOMIC_POSITIONS angstrom
K 0.000 0.000 0.000
K 3.492 3.492 0.000
K 3.492 0.000 3.492
K 0.000 3.492 3.492
Ir 1.746 1.746 1.746
Ir 12.220 12.220 12.220



No. 9
! KIr5 (GGA-PBE, relaxed); values from VASP
! symmetry	P6/mmm
&SYSTEM
  ibrav = 0, nat = 6, ntyp = 2
/
ATOMIC_SPECIES
K 39.10 K.upf
Ir 192.22 Ir.upf
CELL_PARAMETERS angstrom
5.430 0.000 0.000
-2.715 4.702 0.000
0.000 0.000 4.261
ATOMIC_POSITIONS angstrom
K 0.000 0.000 0.000
Ir -1.357 2.351 2.131
Ir 0.000 3.135 0.000
Ir 2.715 0.000 2.131
Ir 1.357 2.351 2.131
Ir 2.715 1.567 0.000



No. 10
! K2Ir (GGA-PBE, relaxed); values from VASP
! symmetry	Fm-3m
&SYSTEM
  ibrav = 0, nat = 12, ntyp = 2
/
ATOMIC_SPECIES
K 39.10 K.upf
Ir 192.22 Ir.upf
CELL_PARAMETERS angstrom
7.743 0.000 0.000
0.000 7.743 0.000
0.000 0.000 7.743
ATOMIC_POSITIONS angstrom
K 1.936 1.936 1.936
K 1.936 1.936 5.808
K 1.936 5.808 1.936
K 1.936 5.808 5.808
K 5.808 1.936 1.936
K 5.808 1.936 5.808
K 5.808 5.808 1.936
K 5.808 5.808 5.808
Ir 0.000 0.000 0.000
Ir 0.000 3.872 3.872
Ir 3.872 0.000 3.872
Ir 3.872 3.872 0.000



No. 11
! K2Ir (GGA-PBE, relaxed); values from VASP
! symmetry	Fd-3m
&SYSTEM
  ibrav = 0, nat = 6, ntyp = 2
/
ATOMIC_SPECIES
K 39.10 K.upf
Ir 192.22 Ir.upf
CELL_PARAMETERS angstrom
0.000 4.319 4.319
4.319 0.000 4.319
4.319 4.319 0.000
ATOMIC_POSITIONS angstrom
K 0.000 0.000 0.000
K 2.159 2.159 0.000
K 2.159 0.000 2.159
K 0.000 2.159 2.159
Ir 3.239 3.239 3.239
Ir 5.399 5.399 5.399



No. 12
! K2LiIrO6 (GGA-PBE, relaxed); values from VASP
! symmetry	Fm-3m
&SYSTEM
  ibrav = 0, nat = 10, ntyp = 4
/
ATOMIC_SPECIES
K 39.10 K.upf
Li 6.94 Li.upf
Ir 192.22 Ir.upf
O 16.00 O.upf
CELL_PARAMETERS angstrom
0.000 3.959 3.959
3.959 0.000 3.959
3.959 3.959 0.000
ATOMIC_POSITIONS angstrom
K 1.979 1.979 1.979
K 5.938 5.938 5.938
Li 0.000 0.000 0.000
Ir 3.959 3.959 3.959
O 3.959 3.959 2.094
O 3.959 2.094 3.959
O 5.824 3.959 3.959
O 2.094 3.959 3.959
O 3.959 5.824 3.959
O 3.959 3.959 5.824



No. 13
! K2LiP2Ir (GGA-PBE, relaxed); values from VASP
! symmetry	Ibam
&SYSTEM
  ibrav = 0, nat = 12, ntyp = 4
/
ATOMIC_SPECIES
K 39.10 K.upf
Li 6.94 Li.upf
P 30.97 P.upf
Ir 192.22 Ir.upf
CELL_PARAMETERS angstrom
-2.973 7.937 2.858
2.973 -7.937 2.858
2.973 7.937 -2.858
ATOMIC_POSITIONS angstrom
K 1.330 2.727 0.000
K 1.330 -2.727 2.858
K 1.643 10.663 0.000
K 1.643 5.210 2.858
Li 0.000 0.000 1.429
Li 0.000 0.000 4.287
P 4.293 1.342 0.000
P 1.320 6.595 0.000
P 1.653 1.342 2.858
P -1.320 6.595 2.858
Ir 2.973 0.000 1.429
Ir 0.000 7.937 1.429



No. 14
! KLiReIr (GGA-PBE, relaxed); values from VASP
! symmetry	F-43m
! ΔE to the lowest computed polymorph	152	meV per atom
&SYSTEM
  ibrav = 0, nat = 16, ntyp = 4
/
ATOMIC_SPECIES
K 39.10 K.upf
Li 6.94 Li.upf
Re 186.21 Re.upf
Ir 192.22 Ir.upf
CELL_PARAMETERS angstrom
6.493 0.000 0.000
0.000 6.493 0.000
0.000 0.000 6.493
ATOMIC_POSITIONS angstrom
K 0.000 0.000 0.000
K 0.000 3.247 3.247
K 3.247 0.000 3.247
K 3.247 3.247 0.000
Li 1.623 1.623 1.623
Li 1.623 4.870 4.870
Li 4.870 1.623 4.870
Li 4.870 4.870 1.623
Re 0.000 0.000 3.247
Re 0.000 3.247 0.000
Re 3.247 0.000 0.000
Re 3.247 3.247 3.247
Ir 1.623 1.623 4.870
Ir 1.623 4.870 1.623
Ir 4.870 1.623 1.623
Ir 4.870 4.870 4.870



No. 15
! KLiReIr (GGA-PBE, relaxed); values from VASP
! symmetry	F-43m
! ΔE to the lowest computed polymorph	799	meV per atom
&SYSTEM
  ibrav = 0, nat = 16, ntyp = 4
/
ATOMIC_SPECIES
K 39.10 K.upf
Li 6.94 Li.upf
Re 186.21 Re.upf
Ir 192.22 Ir.upf
CELL_PARAMETERS angstrom
6.608 0.000 0.000
0.000 6.608 0.000
0.000 0.000 6.608
ATOMIC_POSITIONS angstrom
K 0.000 0.000 0.000
K 0.000 3.304 3.304
K 3.304 0.000 3.304
K 3.304 3.304 0.000
Li 0.000 0.000 3.304
Li 0.000 3.304 0.000
Li 3.304 0.000 0.000
Li 3.304 3.304 3.304
Re 1.652 1.652 4.956
Re 1.652 4.956 1.652
Re 4.956 1.652 1.652
Re 4.956 4.956 4.956
Ir 1.652 1.652 1.652
Ir 1.652 4.956 4.956
Ir 4.956 1.652 4.956
Ir 4.956 4.956 1.652



No. 16
! KLiReIr (GGA-PBE, relaxed); values from VASP
! symmetry	F-43m
! ΔE to the lowest computed polymorph	0	meV per atom
&SYSTEM
  ibrav = 0, nat = 16, ntyp = 4
/
ATOMIC_SPECIES
K 39.10 K.upf
Li 6.94 Li.upf
Re 186.21 Re.upf
Ir 192.22 Ir.upf
CELL_PARAMETERS angstrom
6.391 0.000 0.000
0.000 6.391 0.000
0.000 0.000 6.391
ATOMIC_POSITIONS angstrom
K 0.000 0.000 0.000
K 0.000 3.195 3.195
K 3.195 0.000 3.195
K 3.195 3.195 0.000
Li 1.598 1.598 1.598
Li 1.598 4.793 4.793
Li 4.793 1.598 4.793
Li 4.793 4.793 1.598
Re 1.598 1.598 4.793
Re 1.598 4.793 1.598
Re 4.793 1.598 1.598
Re 4.793 4.793 4.793
Ir 0.000 0.000 3.195
Ir 0.000 3.195 0.000
Ir 3.195 0.000 0.000
Ir 3.195 3.195 3.195



No. 17
! KMgMoIr (GGA-PBE, relaxed); values from VASP
! symmetry	F-43m
! ΔE to the lowest computed polymorph	521	meV per atom
&SYSTEM
  ibrav = 0, nat = 16, ntyp = 4
/
ATOMIC_SPECIES
K 39.10 K.upf
Mg 24.30 Mg.upf
Mo 95.94 Mo.upf
Ir 192.22 Ir.upf
CELL_PARAMETERS angstrom
6.874 0.000 0.000
0.000 6.874 0.000
0.000 0.000 6.874
ATOMIC_POSITIONS angstrom
K 0.000 0.000 0.000
K 0.000 3.437 3.437
K 3.437 0.000 3.437
K 3.437 3.437 0.000
Mg 0.000 0.000 3.437
Mg 0.000 3.437 0.000
Mg 3.437 0.000 0.000
Mg 3.437 3.437 3.437
Mo 1.719 1.719 1.719
Mo 1.719 5.156 5.156
Mo 5.156 1.719 5.156
Mo 5.156 5.156 1.719
Ir 1.719 1.719 5.156
Ir 1.719 5.156 1.719
Ir 5.156 1.719 1.719
Ir 5.156 5.156 5.156



No. 18
! KMgMoIr (GGA-PBE, relaxed); values from VASP
! symmetry	F-43m
! ΔE to the lowest computed polymorph	0	meV per atom
&SYSTEM
  ibrav = 0, nat = 16, ntyp = 4
/
ATOMIC_SPECIES
K 39.10 K.upf
Mg 24.30 Mg.upf
Mo 95.94 Mo.upf
Ir 192.22 Ir.upf
CELL_PARAMETERS angstrom
6.605 0.000 0.000
0.000 6.605 0.000
0.000 0.000 6.605
ATOMIC_POSITIONS angstrom
K 0.000 0.000 0.000
K 0.000 3.303 3.303
K 3.303 0.000 3.303
K 3.303 3.303 0.000
Mg 1.651 1.651 4.954
Mg 1.651 4.954 1.651
Mg 4.954 1.651 1.651
Mg 4.954 4.954 4.954
Mo 1.651 1.651 1.651
Mo 1.651 4.954 4.954
Mo 4.954 1.651 4.954
Mo 4.954 4.954 1.651
Ir 0.000 0.000 3.303
Ir 0.000 3.303 0.000
Ir 3.303 0.000 0.000
Ir 3.303 3.303 3.303



No. 19
! KMgMoIr (GGA-PBE, relaxed); values from VASP
! symmetry	F-43m
! ΔE to the lowest computed polymorph	228	meV per atom
&SYSTEM
  ibrav = 0, nat = 16, ntyp = 4
/
ATOMIC_SPECIES
K 39.10 K.upf
Mg 24.30 Mg.upf
Mo 95.94 Mo.upf
Ir 192.22 Ir.upf
CELL_PARAMETERS angstrom
6.729 0.000 0.000
0.000 6.729 0.000
0.000 0.000 6.729
ATOMIC_POSITIONS angstrom
K 0.000 0.000 0.000
K 0.000 3.364 3.364
K 3.364 0.000 3.364
K 3.364 3.364 0.000
Mg 1.682 1.682 5.047
Mg 1.682 5.047 1.682
Mg 5.047 1.682 1.682
Mg 5.047 5.047 5.047
Mo 0.000 0.000 3.364
Mo 0.000 3.364 0.000
Mo 3.364 0.000 0.000
Mo 3.364 3.364 3.364
Ir 1.682 1.682 1.682
Ir 1.682 5.047 5.047
Ir 5.047 1.682 5.047
Ir 5.047 5.047 1.682



No. 20
! K2MgP2Ir (GGA-PBE, relaxed); values from VASP
! symmetry	P-4m2
&SYSTEM
  ibrav = 0, nat = 6, ntyp = 4
/
ATOMIC_SPECIES
K 39.10 K.upf
Mg 24.30 Mg.upf
P 30.97 P.upf
Ir 192.22 Ir.upf
CELL_PARAMETERS angstrom
4.148 0.000 0.000
0.000 4.148 0.000
0.000 0.000 9.781
ATOMIC_POSITIONS angstrom
K 0.000 2.074 1.930
K 2.074 0.000 7.851
Mg 0.000 0.000 4.891
P 0.000 2.074 6.204
P 2.074 0.000 3.577
Ir 2.074 2.074 4.891



no.,M_tot (μB/f.u.),total energy (eV/atom)
1,0.0,-8.782
2,0.0,-8.781
3,0.0,-7.867
4,0.0,-8.276
5,0.0,-8.575
6,0.0,-8.473
7,0.0,-8.504
8,1.0,-2.400
9,0.2,-7.067
10,1.0,-2.677
11,1.0,-2.294
12,0.0,-5.294
13,0.0,-4.422
14,0.1,-4.924
15,3.4,-4.277
16,0.0,-5.076
17,4.0,-4.277
18,0.0,-4.798
19,0.3,-4.570
20,0.0,-4.292